## LiAcPb (PBE)

Data for a relaxed LiAcPb crystal.

abc: 5.016 8.622 8.323
angles: 90.00 90.00 90.00
Fractional coordinates of all 12 atoms:
Li 0.750 0.580 0.312
Ac 0.750 0.279 0.998
Li 0.750 0.920 0.812
Pb 0.250 0.411 0.277
Ac 0.750 0.221 0.498
Pb 0.250 0.089 0.777
Pb 0.750 0.589 0.723
Pb 0.750 0.911 0.223
Ac 0.250 0.779 0.502
Ac 0.250 0.721 0.002
Li 0.250 0.420 0.688
Li 0.250 0.080 0.188

Calculated values
ΔH_f (0 K)   -0.5271 eV per atom
Polymorph energy (0 for the lowest one)   0.000 eV/atom
Mass density   8.1 g/cm³

## Tb2DyPuP4 (PBE)

Data for a relaxed Tb2DyPuP4 crystal.

abc: 4.018 6.938 6.940
angles: 109.49 90.00 90.00
Site moments in Bohr magnetons follow the coordinates.
Fractional coordinates of all 8 atoms:
P 0.500 0.246 0.245  -0.08
Dy 0.500 0.500 0.000  0.02
Pu 0.000 0.000 0.000  4.88
P 0.500 0.754 0.755  -0.08
P 0.000 0.249 0.753  -0.05
P 0.000 0.751 0.247  -0.05
Tb 0.500 0.000 0.500  0.03
Tb 0.000 0.500 0.500  0.01

Calculated values
ΔH_f (0 K)   -1.4891 eV per atom
Mass density   7.7 g/cm³

## LaPuGa (PBE)

Data for a relaxed LaPuGa crystal.

abc: 6.060 6.060 6.709
angles: 90.00 90.00 137.93
Site moments in Bohr magnetons follow the coordinates.
Fractional coordinates of all 6 atoms:
La 0.345 0.655 0.250  0.30
Pu 0.387 0.613 0.750  5.54
La 0.655 0.345 0.750  0.30
Ga 0.000 0.000 0.000  -0.03
Pu 0.613 0.387 0.250  5.54
Ga 0.000 0.000 0.500  -0.03

Calculated values
ΔH_f (0 K)   -0.1022 eV per atom
Polymorph energy (0 for the lowest one)   0.120 eV/atom
Mass density   9.1 g/cm³

## NdCdSi2Pt2 (PBE)

Data for a relaxed NdCdSi2Pt2 crystal.

abc: 4.151 4.151 7.802
angles: 90.00 90.00 120.00
Fractional coordinates of all 6 atoms:
Si 0.333 0.667 0.745
Pt 0.667 0.333 0.707
Si 0.667 0.333 0.255
Pt 0.333 0.667 0.293
Nd 0.000 0.000 0.000
Cd 0.000 0.000 0.500

Calculated values
Raw formation energy   -0.75 eV/atom
Mass density   10.0 g/cm³

## Li5Ce4Pb6 (PBE)

Data for a relaxed Li5Ce4Pb6 crystal.

abc: 4.840 10.592 16.051
angles: 90.00 90.00 103.21
Site moments in Bohr magnetons follow the coordinates.
Fractional coordinates of all 30 atoms:
Li 0.336 0.672 0.283  0.00
Ce 0.837 0.674 0.795  0.53
Pb 0.584 0.167 0.629  -0.01
Li 0.316 0.631 0.622  0.00
Pb 0.765 0.530 0.277  0.02
Pb 0.436 0.873 0.845  -0.01
Pb 0.235 0.470 0.777  0.02
Ce 0.163 0.326 0.295  0.53
Pb 0.430 0.860 0.423  0.00
Ce 0.959 0.919 0.263  0.76
Li 0.834 0.668 0.128  0.00
Li 0.548 0.096 0.167  0.00
Pb 0.090 0.180 0.121  0.01
Pb 0.570 0.140 0.923  0.00
Li 0.341 0.683 0.975  0.00
Ce 0.037 0.074 0.498  0.69
Pb 0.228 0.455 0.474  0.02
Ce 0.041 0.081 0.763  0.76
Pb 0.910 0.820 0.621  0.01
Li 0.659 0.317 0.475  0.00
Li 0.664 0.328 0.783  0.00
Li 0.166 0.332 0.628  0.00
Ce 0.828 0.656 0.455  0.52
Pb 0.564 0.127 0.345  -0.01
Pb 0.772 0.545 0.974  0.02
Ce 0.963 0.926 0.998  0.69
Li 0.452 0.904 0.667  0.00
Li 0.684 0.369 0.122  0.00
Pb 0.416 0.833 0.129  -0.01
Ce 0.172 0.344 0.955  0.52

Calculated values
ΔH_f (0 K)   -0.3128 eV per atom
Mass density   7.6 g/cm³

## RbBaSnB2 (PBE)

Data for a relaxed RbBaSnB2 crystal.

abc: 4.822 6.197 4.822
angles: 90.00 90.00 90.00
Fractional coordinates of all 5 atoms:
Rb 0.500 0.500 0.500
Sn 0.000 0.000 0.000
B 0.500 0.000 0.000
B 0.000 0.000 0.500
Ba 0.000 0.500 0.000

Calculated values
ΔH_f (0 K)   1.3987 eV per atom
Mass density   4.2 g/cm³

## Ho12Mg3Cd5 (PBE)

Data for a relaxed Ho12Mg3Cd5 crystal.

abc: 15.455 15.455 15.455
angles: 109.47 109.47 109.47
Fractional coordinates of all 80 atoms:
Ho 0.162 0.075 0.939
Ho 0.425 0.061 0.338
Ho 0.561 0.338 0.925
Ho 0.278 0.413 0.838
Cd 0.000 0.500 0.000
Ho 0.364 0.425 0.087
Ho 0.338 0.561 0.425
Cd 0.000 0.500 0.500
Ho 0.439 0.662 0.075
Ho 0.364 0.939 0.778
Cd 0.125 0.750 0.375
Ho 0.087 0.162 0.222
Ho 0.662 0.222 0.587
Ho 0.838 0.913 0.278
Ho 0.136 0.722 0.561
Ho 0.413 0.136 0.575
Ho 0.587 0.722 0.662
Cd 0.125 0.375 0.250
Ho 0.061 0.425 0.838
Ho 0.338 0.778 0.413
Cd 0.375 0.125 0.750
Mg 0.250 0.125 0.375
Mg 0.750 0.875 0.625
Ho 0.425 0.364 0.587
Ho 0.587 0.864 0.425
Ho 0.413 0.278 0.338
Cd 0.750 0.625 0.375
Ho 0.636 0.061 0.222
Mg 0.375 0.750 0.625
Cd 0.375 0.250 0.125
Mg 0.625 0.250 0.375
Cd 0.750 0.125 0.875
Cd 0.250 0.875 0.125
Ho 0.575 0.939 0.662
Ho 0.925 0.087 0.864
Cd 0.000 0.000 0.500
Cd 0.500 0.000 0.000
Ho 0.278 0.864 0.939
Ho 0.913 0.075 0.636
Ho 0.864 0.278 0.439
Ho 0.722 0.136 0.061
Ho 0.864 0.587 0.925
Mg 0.875 0.125 0.250
Mg 0.125 0.250 0.875
Ho 0.075 0.162 0.439
Ho 0.925 0.838 0.561
Ho 0.561 0.222 0.136
Cd 0.500 0.500 0.500
Ho 0.136 0.413 0.075
Ho 0.778 0.338 0.913
Mg 0.250 0.625 0.875
Ho 0.636 0.575 0.913
Ho 0.061 0.636 0.722
Ho 0.075 0.913 0.136
Ho 0.838 0.925 0.061
Mg 0.875 0.750 0.125
Mg 0.750 0.375 0.125
Ho 0.222 0.561 0.636
Mg 0.625 0.375 0.750
Ho 0.913 0.838 0.778
Cd 0.500 0.000 0.500
Ho 0.778 0.439 0.364
Cd 0.875 0.250 0.625
Ho 0.662 0.439 0.575
Ho 0.439 0.778 0.864
Ho 0.575 0.636 0.413
Mg 0.125 0.875 0.750
Ho 0.162 0.087 0.722
Cd 0.875 0.625 0.750
Cd 0.250 0.375 0.625
Cd 0.000 0.000 0.000
Ho 0.939 0.364 0.278
Cd 0.625 0.875 0.250
Mg 0.375 0.625 0.250
Ho 0.939 0.575 0.162
Ho 0.722 0.587 0.162
Cd 0.625 0.750 0.875
Cd 0.500 0.500 0.000
Ho 0.222 0.662 0.087
Ho 0.087 0.925 0.364

Calculated values
ΔH_f (0 K)   0.4464 eV per atom
Mass density   6.1 g/cm³

no.,final energy (eV per atom)
1,-3.771
2,-7.718
3,-7.531
4,-5.514
5,-4.016
6,-2.651
7,-2.768